{
  "formula": "PuAlAgHg",
  "functional": "PBE",
  "state": "relaxed",
  "cell": [[4.9934, 0.0000, 0.0000], [2.4967, 4.3244, 0.0000], [2.4967, 1.4415, 4.0771]],
  "species": ["Al", "Ag", "Pu", "Hg"],
  "frac_coords": [[0.0000, 0.0000, 0.0000], [0.2500, 0.2500, 0.2500], [0.5000, 0.5000, 0.5000], [0.7500, 0.7500, 0.7500]],
  "delta_e_f_ev_per_atom": -0.04,
  "n_ef_per_ev_fu": 13.417,
  "space_group": "F-43m, No. 216"
}